[1]
VASP calculation (PBE with a Hubbard U) on crystalline CaTmMn2O6 at its relaxed geometry.

## Properties
The value obtained for the total energy is -7.493 eV per atom.

Lattice parameters (Å, degrees): 7.5266 5.5548 5.3163 90.00 90.00 90.00
Last column: nearest neighbours and their distance in Å.
Atoms (fractional coordinates):
Ca 0.0000 0.1950 0.0000  6 O 2.31-2.57
Ca 0.5000 0.8050 0.5000  6 O 2.31-2.57
Tm 0.0000 0.6809 0.4678  6 O 2.24-2.42
Tm 0.5000 0.3191 0.9678  6 O 2.24-2.42
Mn 0.2503 0.2457 0.4873  6 O 1.96-2.01
Mn 0.2497 0.7543 0.9873  6 O 1.96-2.01
Mn 0.7497 0.2457 0.4873  6 O 1.96-2.01
Mn 0.7503 0.7543 0.9873  6 O 1.96-2.01
O 0.0000 0.2873 0.5766  2 Mn 1.96
O 0.0000 0.7786 0.8761  2 Mn 1.98
O 0.1967 0.9433 0.2962  2 Mn 1.99-2.00
O 0.2003 0.4610 0.1970  2 Mn 1.99-2.01
O 0.2997 0.5390 0.6970  2 Mn 1.99-2.01
O 0.3033 0.0567 0.7962  2 Mn 1.99-2.00
O 0.5000 0.2214 0.3761  2 Mn 1.98
O 0.5000 0.7127 0.0766  2 Mn 1.96
O 0.6967 0.0567 0.7962  2 Mn 1.99-2.00
O 0.7003 0.5390 0.6970  2 Mn 1.99-2.01
O 0.7997 0.4610 0.1970  2 Mn 1.99-2.01
O 0.8033 0.9433 0.2962  2 Mn 1.99-2.00



[2]
VASP calculation (PBE with a Hubbard U) on crystalline CaTmMn2O6 at its relaxed geometry.

## Properties
The value obtained for the total energy is -7.496 eV per atom.

Lattice parameters (Å, degrees): 7.5604 5.3101 5.5453 90.00 90.00 90.00
Last column: nearest neighbours and their distance in Å.
Atoms (fractional coordinates):
Ca 0.0000 0.2396 0.0000  4 O 2.31-2.36
Ca 0.0000 0.7604 0.5000  4 O 2.31-2.36
Tm 0.5000 0.2666 0.1237  8 O 2.26-2.51
Tm 0.5000 0.7334 0.6237  8 O 2.26-2.51
Mn 0.2491 0.2454 0.5556  6 O 1.95-2.03
Mn 0.2491 0.7546 0.0556  6 O 1.95-2.03
Mn 0.7509 0.2454 0.5556  6 O 1.95-2.03
Mn 0.7509 0.7546 0.0556  6 O 1.95-2.03
O 0.0000 0.3341 0.5837  2 Mn 1.95
O 0.0000 0.6659 0.0837  2 Mn 1.95
O 0.2152 0.0600 0.2472  2 Mn 1.96-1.99
O 0.2152 0.9400 0.7472  2 Mn 1.96-1.99
O 0.3114 0.4539 0.8513  2 Mn 2.01-2.03
O 0.3114 0.5461 0.3513  2 Mn 2.01-2.03
O 0.5000 0.1440 0.5199  2 Mn 1.98
O 0.5000 0.8560 0.0199  2 Mn 1.98
O 0.6886 0.4539 0.8513  2 Mn 2.01-2.03
O 0.6886 0.5461 0.3513  2 Mn 2.01-2.03
O 0.7848 0.0600 0.2472  2 Mn 1.96-1.99
O 0.7848 0.9400 0.7472  2 Mn 1.96-1.99



[3]
VASP calculation (PBE with a Hubbard U) on crystalline CaTmMn2O4 at its relaxed geometry.

## Properties
The value obtained for the total energy is -7.405 eV per atom.

Lattice parameters (Å, degrees): 5.7264 5.7264 5.7264 132.07 132.07 70.12
Last column: nearest neighbours and their distance in Å.
Atoms (fractional coordinates):
Ca 0.0000 0.0000 0.0000  6 O 2.33-2.39
Tm 0.2500 0.7500 0.5000  6 O 2.28-2.33
Mn 0.5000 0.5000 0.0000  6 O 2.30-2.33
Mn 0.7500 0.2500 0.5000  6 O 2.33-2.41
O 0.0071 0.5071 0.5000  1 Tm 2.28, 3 Mn 2.33-2.41, 2 Ca 2.33
O 0.2548 0.2548 0.0000  3 Mn 2.30-2.33, 2 Tm 2.33, 1 Ca 2.39
O 0.4929 0.9929 0.5000  1 Tm 2.28, 3 Mn 2.33-2.41, 2 Ca 2.33
O 0.7452 0.7452 0.0000  3 Mn 2.30-2.33, 2 Tm 2.33, 1 Ca 2.39



[4]
VASP calculation (PBE with a Hubbard U) on crystalline Ca2UMnO6 at its relaxed geometry.

## Properties
The value obtained for the total energy is -7.895 eV per atom.

Lattice parameters (Å, degrees): 5.6159 5.6219 5.6237 61.38 61.39 61.38
Last column: nearest neighbours and their distance in Å.
Atoms (fractional coordinates):
Ca 0.2323 0.2303 0.2315  6 O 2.36-2.61
Ca 0.7677 0.7697 0.7685  6 O 2.36-2.61
U 0.5000 0.5000 0.5000  6 O 2.14-2.15
Mn 0.0000 0.0000 0.0000  6 O 2.00
O 0.1492 0.3326 0.7693  1 Mn 2.00, 1 U 2.15
O 0.2321 0.8490 0.6692  1 Mn 2.00, 1 U 2.15
O 0.3314 0.7714 0.1513  1 Mn 2.00, 1 U 2.14
O 0.6686 0.2286 0.8487  1 Mn 2.00, 1 U 2.14
O 0.7679 0.1510 0.3308  1 Mn 2.00, 1 U 2.15
O 0.8508 0.6674 0.2307  1 Mn 2.00, 1 U 2.15



[5]
VASP calculation (PBE with a Hubbard U) on crystalline CaMn3V4O12 at its relaxed geometry.

## Properties
The value obtained for the total energy is -7.713 eV per atom.

Lattice parameters (Å, degrees): 6.5185 6.5241 6.5249 110.00 109.70 108.53
Last column: nearest neighbours and their distance in Å.
Atoms (fractional coordinates):
Ca 0.0000 0.0000 0.0000  12 O 2.57-2.71
Mn 0.0000 0.5000 0.5000  4 O 2.08-2.10
Mn 0.5000 0.0000 0.5000  4 O 1.97-1.98
Mn 0.5000 0.5000 0.0000  4 O 2.10
V 0.0000 0.0000 0.5000  6 O 1.89-2.03
V 0.0000 0.5000 0.0000  6 O 1.92-2.03
V 0.5000 0.0000 0.0000  6 O 2.00-2.05
V 0.5000 0.5000 0.5000  6 O 1.91-2.01
O 0.1087 0.3044 0.8156  2 V 1.92-2.00, 1 Mn 2.10
O 0.1749 0.8932 0.6967  2 V 1.89-2.05, 1 Mn 2.10
O 0.1786 0.4695 0.2894  2 V 1.97-1.98, 1 Mn 2.08
O 0.3115 0.8185 0.1277  1 Mn 1.98, 2 V 2.01-2.03
O 0.3129 0.1844 0.4937  1 Mn 1.97, 2 V 2.01-2.03
O 0.4932 0.3066 0.1996  2 V 1.91-2.00, 1 Mn 2.10
O 0.5068 0.6934 0.8004  2 V 1.91-2.00, 1 Mn 2.10
O 0.6871 0.8156 0.5063  1 Mn 1.97, 2 V 2.01-2.03
O 0.6885 0.1815 0.8723  1 Mn 1.98, 2 V 2.01-2.03
O 0.8214 0.5305 0.7106  2 V 1.97-1.98, 1 Mn 2.08
O 0.8251 0.1068 0.3033  2 V 1.89-2.05, 1 Mn 2.10
O 0.8913 0.6956 0.1844  2 V 1.92-2.00, 1 Mn 2.10



[6]
VASP calculation (PBE with a Hubbard U) on crystalline Ca3Mn2W2O12 at its relaxed geometry.

## Properties
The value obtained for the total energy is -7.279 eV per atom.

Lattice parameters (Å, degrees): 5.5147 5.6416 7.6100 89.43 89.80 85.79
Last column: nearest neighbours and their distance in Å.
Atoms (fractional coordinates):
Ca 0.0000 0.0000 0.0000  8 O 2.37-2.61
Ca 0.0024 0.0989 0.4961  6 O 2.35-2.60
Ca 0.5224 0.4946 0.0006  6 O 2.35-2.51
Mn 0.0088 0.5485 0.2500  4 O 1.94-1.97
Mn 0.5001 0.0359 0.7505  4 O 1.93-1.98
W 0.0070 0.5497 0.7407  6 O 1.89-2.05
W 0.5012 0.0369 0.2591  6 O 1.91-2.03
O 0.0976 0.5697 0.0013  1 Mn 1.96, 1 W 2.05
O 0.1711 0.8374 0.7154  1 W 1.92
O 0.2179 0.8626 0.2832  1 W 1.91
O 0.2862 0.3227 0.2900  1 Mn 1.94, 1 W 1.95
O 0.2860 0.3301 0.7122  1 W 1.92, 1 Mn 1.98
O 0.4211 0.0714 0.9997  1 Mn 1.95, 1 W 2.03
O 0.5892 0.0195 0.5014  1 W 1.91, 1 Mn 1.96
O 0.7146 0.7597 0.8081  1 Mn 1.93, 1 W 2.00
O 0.7161 0.7591 0.1962  1 W 1.96, 1 Mn 1.97
O 0.7741 0.2334 0.2091  1 W 1.97
O 0.8126 0.2837 0.8008  1 W 1.96
O 0.9285 0.5313 0.4996  1 W 1.89, 1 Mn 1.95



[7]
VASP calculation (PBE with a Hubbard U) on crystalline CaMnWO6 at its relaxed geometry.

## Properties
The value obtained for the total energy is -7.142 eV per atom.

Lattice parameters (Å, degrees): 4.8091 4.8091 9.3733 90.00 90.00 90.00
Last column: nearest neighbours and their distance in Å.
Atoms (fractional coordinates):
Ca 0.0000 0.0000 0.0000  6 O 2.24-2.35
Ca 0.5000 0.5000 0.5000  6 O 2.24-2.35
Mn 0.0000 0.0000 0.3292  6 O 1.93-1.99
Mn 0.5000 0.5000 0.8292  6 O 1.93-1.99
W 0.0000 0.0000 0.6666  6 O 1.93-1.99
W 0.5000 0.5000 0.1666  6 O 1.93-1.99
O 0.1710 0.1710 0.4941  1 Mn 1.93, 1 W 1.99
O 0.2138 0.2138 0.1845  1 W 1.95, 1 Mn 1.99
O 0.2139 0.2139 0.8025  1 W 1.93, 1 Mn 1.96
O 0.2861 0.7139 0.3025  1 W 1.93, 1 Mn 1.96
O 0.2862 0.7138 0.6845  1 W 1.95, 1 Mn 1.99
O 0.3290 0.6710 0.9941  1 Mn 1.93, 1 W 1.99
O 0.6710 0.3290 0.9941  1 Mn 1.93, 1 W 1.99
O 0.7139 0.2861 0.3025  1 W 1.93, 1 Mn 1.96
O 0.7138 0.2862 0.6845  1 W 1.95, 1 Mn 1.99
O 0.7862 0.7862 0.1845  1 W 1.95, 1 Mn 1.99
O 0.7861 0.7861 0.8025  1 W 1.93, 1 Mn 1.96
O 0.8290 0.8290 0.4941  1 Mn 1.93, 1 W 1.99



[8]
VASP calculation (PBE with a Hubbard U) on crystalline Ca2MnWO at its relaxed geometry.

## Properties
The value obtained for the total energy is -4.530 eV per atom.

Lattice parameters (Å, degrees): 6.2872 6.2872 3.8726 90.00 90.00 90.00
Last column: nearest neighbours and their distance in Å.
Atoms (fractional coordinates):
Ca 0.0000 0.5000 0.0000  2 W 3.14
Ca 0.5000 0.0000 0.0000  2 W 3.14
Mn 0.0000 0.0000 0.5000  8 Ca 3.69, 2 Mn 3.87
W 0.5000 0.5000 0.0000  2 O 1.94
O 0.5000 0.5000 0.5000  2 W 1.94



[9]
VASP calculation (PBE with a Hubbard U) on crystalline CaMnWO6 at its relaxed geometry.

## Properties
The value obtained for the total energy is -7.146 eV per atom.

Lattice parameters (Å, degrees): 5.3242 5.3947 9.2581 90.00 125.06 90.00
Last column: nearest neighbours and their distance in Å.
Atoms (fractional coordinates):
Ca 0.0000 0.2068 0.0000  7 O 2.34-2.61
Ca 0.0000 0.7932 0.5000  7 O 2.34-2.61
Mn 0.2416 0.2508 0.7486  6 O 1.91-1.94
Mn 0.2416 0.7492 0.2486  6 O 1.91-1.94
W 0.7418 0.2591 0.2494  6 O 1.92-1.97
W 0.7418 0.7409 0.7494  6 O 1.92-1.97
O 0.0563 0.0336 0.2805  1 Mn 1.94, 1 W 1.95
O 0.0563 0.9664 0.7805  1 Mn 1.94, 1 W 1.95
O 0.4100 0.4625 0.2117  1 Mn 1.91, 1 W 1.93
O 0.4100 0.5375 0.7117  1 Mn 1.91, 1 W 1.93
O 0.4887 0.0315 0.7162  1 Mn 1.92, 1 W 1.97
O 0.4887 0.9685 0.2162  1 Mn 1.92, 1 W 1.97
O 0.5625 0.2613 0.9982  1 Mn 1.93, 1 W 1.94
O 0.5625 0.7387 0.4982  1 Mn 1.93, 1 W 1.94
O 0.9273 0.2387 0.5006  1 Mn 1.91, 1 W 1.94
O 0.9273 0.7613 0.0006  1 Mn 1.91, 1 W 1.94
O 0.9891 0.4570 0.7877  1 W 1.92, 1 Mn 1.93
O 0.9891 0.5430 0.2877  1 W 1.92, 1 Mn 1.93